Cs3IO4, relaxed, DFT PBE; density of states at the Fermi level = 0.0 states/eV/cell; space group = Imm2, No. 44; relative energy among the computed polymorphs = 0 meV per atom; uncorrected formation energy = -8.97 eV/f.u.; total moment = 0.0 Bohr magnetons per cell; density = 4.6 g/cm³
1.0
-3.3217 4.9622 3.1986
3.3217 -4.9622 3.1986
3.3217 4.9622 -3.1986
Cs I O
3 1 4
direct
0.0000 0.0000 0.0000
0.2474 0.4947 0.7527
0.7420 0.4947 0.2473
0.4934 0.9934 0.5000
0.2794 0.9781 0.3013
0.6748 0.3951 0.7203
0.6748 0.9545 0.2797
0.6769 0.9781 0.6987